# KVCr2O PBE with a Hubbard U optimized geometry
# Electronic total energy: -26.54 eV per cell
# V: 20.487 Å³ per atom
# Space-group type: No. 123
# Crystal system: tetragonal
# N(E_F): 0.561 states/eV per atom
data_KVCr2O
_chemical_formula_sum 'K1 V1 Cr2 O1'
_symmetry_space_group_name_H-M 'P 1'
_symmetry_Int_Tables_number 1
_symmetry_space_group_name_Hall 'P 1'
_cell_length_a 4.3611
_cell_length_b 4.3611
_cell_length_c 5.3859
_cell_angle_alpha 90.00
_cell_angle_beta 90.00
_cell_angle_gamma 90.00
loop_
_atom_site_label
_atom_site_type_symbol
_atom_site_fract_x
_atom_site_fract_y
_atom_site_fract_z
K1 K 0.0000 0.0000 0.0000
V1 V 0.5000 0.5000 0.0000
Cr1 Cr 0.0000 0.5000 0.5000
Cr2 Cr 0.5000 0.0000 0.5000
O1 O 0.0000 0.0000 0.5000

# KVCrO6 PBE with a Hubbard U optimized geometry
# Electronic total energy: -59.35 eV per cell
# V: 14.588 Å³ per atom
# Space-group type: No. 143
# Crystal system: trigonal
# N(E_F): 0.000 states/eV per atom
data_KVCrO6
_chemical_formula_sum 'K1 V1 Cr1 O6'
_symmetry_space_group_name_H-M 'P 1'
_symmetry_Int_Tables_number 1
_symmetry_space_group_name_Hall 'P 1'
_cell_length_a 5.0177
_cell_length_b 5.0177
_cell_length_c 6.0215
_cell_angle_alpha 90.00
_cell_angle_beta 90.00
_cell_angle_gamma 120.00
loop_
_atom_site_label
_atom_site_type_symbol
_atom_site_fract_x
_atom_site_fract_y
_atom_site_fract_z
K1 K 0.0000 0.0000 0.0000
V1 V 0.3333 0.6667 0.4360
Cr1 Cr 0.6667 0.3333 0.5419
O1 O 0.3907 0.0076 0.6667
O2 O 0.3959 0.3866 0.3119
O3 O 0.6134 0.0093 0.3119
O4 O 0.6169 0.6093 0.6667
O5 O 0.9907 0.6041 0.3119
O6 O 0.9924 0.3831 0.6667

# KV2CrO8 PBE with a Hubbard U optimized geometry
# Electronic total energy: -83.00 eV per cell
# V: 16.272 Å³ per atom
# Space-group type: No. 164
# Crystal system: trigonal
# N(E_F): 0.594 states/eV per atom
data_KV2CrO8
_chemical_formula_sum 'K1 V2 Cr1 O8'
_symmetry_space_group_name_H-M 'P 1'
_symmetry_Int_Tables_number 1
_symmetry_space_group_name_Hall 'P 1'
_cell_length_a 5.5380
_cell_length_b 5.5380
_cell_length_c 7.3516
_cell_angle_alpha 90.00
_cell_angle_beta 90.00
_cell_angle_gamma 120.00
loop_
_atom_site_label
_atom_site_type_symbol
_atom_site_fract_x
_atom_site_fract_y
_atom_site_fract_z
K1 K 0.0000 0.0000 0.0000
V1 V 0.3333 0.6667 0.7271
V2 V 0.6667 0.3333 0.2729
Cr1 Cr 0.0000 0.0000 0.5000
O1 O 0.1586 0.3172 0.6516
O2 O 0.1586 0.8414 0.6516
O3 O 0.3172 0.1586 0.3484
O4 O 0.3333 0.6667 0.9528
O5 O 0.6667 0.3333 0.0472
O6 O 0.6828 0.8414 0.6516
O7 O 0.8414 0.1586 0.3484
O8 O 0.8414 0.6828 0.3484

# KVCr2O8 PBE with a Hubbard U optimized geometry
# Electronic total energy: -81.53 eV per cell
# V: 16.256 Å³ per atom
# Space-group type: No. 164
# Crystal system: trigonal
# N(E_F): 0.208 states/eV per atom
data_KVCr2O8
_chemical_formula_sum 'K1 V1 Cr2 O8'
_symmetry_space_group_name_H-M 'P 1'
_symmetry_Int_Tables_number 1
_symmetry_space_group_name_Hall 'P 1'
_cell_length_a 5.5135
_cell_length_b 5.5135
_cell_length_c 7.4098
_cell_angle_alpha 90.00
_cell_angle_beta 90.00
_cell_angle_gamma 120.00
loop_
_atom_site_label
_atom_site_type_symbol
_atom_site_fract_x
_atom_site_fract_y
_atom_site_fract_z
K1 K 0.0000 0.0000 0.0000
V1 V 0.0000 0.0000 0.5000
Cr1 Cr 0.3333 0.6667 0.2687
Cr2 Cr 0.6667 0.3333 0.7313
O1 O 0.1660 0.3321 0.3429
O2 O 0.1660 0.8340 0.3429
O3 O 0.3321 0.1660 0.6571
O4 O 0.3333 0.6667 0.0491
O5 O 0.6667 0.3333 0.9509
O6 O 0.6679 0.8340 0.3429
O7 O 0.8340 0.1660 0.6571
O8 O 0.8340 0.6679 0.6571

# K3V2CrO8 PBE with a Hubbard U optimized geometry
# Electronic total energy: -93.24 eV per cell
# V: 15.270 Å³ per atom
# Space-group type: No. 164
# Crystal system: trigonal
# N(E_F): 0.000 states/eV per atom
data_K3V2CrO8
_chemical_formula_sum 'K3 V2 Cr1 O8'
_symmetry_space_group_name_H-M 'P 1'
_symmetry_Int_Tables_number 1
_symmetry_space_group_name_Hall 'P 1'
_cell_length_a 5.7238
_cell_length_b 5.7238
_cell_length_c 7.5347
_cell_angle_alpha 90.00
_cell_angle_beta 90.00
_cell_angle_gamma 120.00
loop_
_atom_site_label
_atom_site_type_symbol
_atom_site_fract_x
_atom_site_fract_y
_atom_site_fract_z
K1 K 0.0000 0.0000 0.0000
K2 K 0.3333 0.6667 0.6945
K3 K 0.6667 0.3333 0.3055
V1 V 0.3333 0.6667 0.2638
V2 V 0.6667 0.3333 0.7362
Cr1 Cr 0.0000 0.0000 0.5000
O1 O 0.1655 0.3311 0.3423
O2 O 0.1655 0.8345 0.3423
O3 O 0.3311 0.1655 0.6577
O4 O 0.3333 0.6667 0.0407
O5 O 0.6667 0.3333 0.9593
O6 O 0.6689 0.8345 0.3423
O7 O 0.8345 0.1655 0.6577
O8 O 0.8345 0.6689 0.6577

# K2CrWO6 PBE with a Hubbard U optimized geometry
# Electronic total energy: -64.98 eV per cell
# V: 12.418 Å³ per atom
# Space-group type: No. 225
# Crystal system: cubic
# N(E_F): 0.777 states/eV per atom
data_K2CrWO6
_chemical_formula_sum 'K2 Cr1 W1 O6'
_symmetry_space_group_name_H-M 'P 1'
_symmetry_Int_Tables_number 1
_symmetry_space_group_name_Hall 'P 1'
_cell_length_a 5.6000
_cell_length_b 5.6000
_cell_length_c 5.6000
_cell_angle_alpha 60.00
_cell_angle_beta 60.00
_cell_angle_gamma 60.00
loop_
_atom_site_label
_atom_site_type_symbol
_atom_site_fract_x
_atom_site_fract_y
_atom_site_fract_z
K1 K 0.2500 0.2500 0.2500
K2 K 0.7500 0.7500 0.7500
Cr1 Cr 0.0000 0.0000 0.0000
W1 W 0.5000 0.5000 0.5000
O1 O 0.2532 0.2532 0.7468
O2 O 0.2532 0.7468 0.2532
O3 O 0.2532 0.7468 0.7468
O4 O 0.7468 0.2532 0.2532
O5 O 0.7468 0.2532 0.7468
O6 O 0.7468 0.7468 0.2532

# KCrW2O8 PBE with a Hubbard U optimized geometry
# Electronic total energy: -86.41 eV per cell
# V: 17.851 Å³ per atom
# Space-group type: No. 12
# Crystal system: monoclinic
# N(E_F): 0.000 states/eV per atom
data_KCrW2O8
_chemical_formula_sum 'K1 Cr1 W2 O8'
_symmetry_space_group_name_H-M 'P 1'
_symmetry_Int_Tables_number 1
_symmetry_space_group_name_Hall 'P 1'
_cell_length_a 5.5295
_cell_length_b 5.5295
_cell_length_c 7.8067
_cell_angle_alpha 91.38
_cell_angle_beta 91.38
_cell_angle_gamma 63.87
loop_
_atom_site_label
_atom_site_type_symbol
_atom_site_fract_x
_atom_site_fract_y
_atom_site_fract_z
K1 K 0.0000 0.0000 0.0000
Cr1 Cr 0.0000 0.0000 0.5000
W1 W 0.3598 0.3598 0.7089
W2 W 0.6402 0.6402 0.2911
O1 O 0.2063 0.2063 0.5634
O2 O 0.2088 0.7264 0.6787
O3 O 0.2736 0.7912 0.3213
O4 O 0.3050 0.3050 0.9244
O5 O 0.6950 0.6950 0.0756
O6 O 0.7264 0.2088 0.6787
O7 O 0.7912 0.2736 0.3213
O8 O 0.7937 0.7937 0.4366

# KCrW2O PBE with a Hubbard U optimized geometry
# Electronic total energy: -18.46 eV per cell
# V: 31.062 Å³ per atom
# Space-group type: No. 123
# Crystal system: tetragonal
# N(E_F): 0.395 states/eV per atom
data_KCrW2O
_chemical_formula_sum 'K1 Cr1 W2 O1'
_symmetry_space_group_name_H-M 'P 1'
_symmetry_Int_Tables_number 1
_symmetry_space_group_name_Hall 'P 1'
_cell_length_a 4.9956
_cell_length_b 4.9956
_cell_length_c 6.2234
_cell_angle_alpha 90.00
_cell_angle_beta 90.00
_cell_angle_gamma 90.00
loop_
_atom_site_label
_atom_site_type_symbol
_atom_site_fract_x
_atom_site_fract_y
_atom_site_fract_z
K1 K 0.0000 0.0000 0.0000
Cr1 Cr 0.0000 0.0000 0.5000
W1 W 0.0000 0.5000 0.5000
W2 W 0.5000 0.0000 0.5000
O1 O 0.5000 0.5000 0.0000

# K2YCrO6 PBE with a Hubbard U optimized geometry
# Electronic total energy: -61.94 eV per cell
# V: 19.003 Å³ per atom
# Space-group type: No. 164
# Crystal system: trigonal
# N(E_F): 0.105 states/eV per atom
data_K2YCrO6
_chemical_formula_sum 'K2 Y1 Cr1 O6'
_symmetry_space_group_name_H-M 'P 1'
_symmetry_Int_Tables_number 1
_symmetry_space_group_name_Hall 'P 1'
_cell_length_a 6.2071
_cell_length_b 6.2071
_cell_length_c 5.6952
_cell_angle_alpha 90.00
_cell_angle_beta 90.00
_cell_angle_gamma 120.00
loop_
_atom_site_label
_atom_site_type_symbol
_atom_site_fract_x
_atom_site_fract_y
_atom_site_fract_z
K1 K 0.3333 0.6667 0.1006
K2 K 0.6667 0.3333 0.8994
Y1 Y 0.0000 0.0000 0.5000
Cr1 Cr 0.0000 0.0000 0.0000
O1 O 0.1371 0.2742 0.8035
O2 O 0.1371 0.8629 0.8035
O3 O 0.2742 0.1371 0.1965
O4 O 0.7258 0.8629 0.8035
O5 O 0.8629 0.1371 0.1965
O6 O 0.8629 0.7258 0.1965

# K2Y2CrO6 PBE with a Hubbard U optimized geometry
# Electronic total energy: -78.77 eV per cell
# V: 16.314 Å³ per atom
# Space-group type: No. 12
# Crystal system: monoclinic
data_K2Y2CrO6
_chemical_formula_sum 'K2 Y2 Cr1 O6'
_symmetry_space_group_name_H-M 'P 1'
_symmetry_Int_Tables_number 1
_symmetry_space_group_name_Hall 'P 1'
_cell_length_a 5.7080
_cell_length_b 5.7080
_cell_length_c 6.5634
_cell_angle_alpha 97.47
_cell_angle_beta 97.47
_cell_angle_gamma 119.68
loop_
_atom_site_label
_atom_site_type_symbol
_atom_site_fract_x
_atom_site_fract_y
_atom_site_fract_z
K1 K 0.1611 0.8389 0.0000
K2 K 0.8389 0.1611 0.0000
Y1 Y 0.3340 0.6660 0.5000
Y2 Y 0.6660 0.3340 0.5000
Cr1 Cr 0.0000 0.0000 0.5000
O1 O 0.0478 0.3521 0.6708
O2 O 0.2352 0.2352 0.3317
O3 O 0.3521 0.0478 0.6708
O4 O 0.6479 0.9522 0.3292
O5 O 0.7648 0.7648 0.6683
O6 O 0.9522 0.6479 0.3292

# KYCr2O8 PBE with a Hubbard U optimized geometry
# Electronic total energy: -84.89 eV per cell
# V: 18.527 Å³ per atom
# Space-group type: No. 147
# Crystal system: trigonal
# N(E_F): 0.000 states/eV per atom
data_KYCr2O8
_chemical_formula_sum 'K1 Y1 Cr2 O8'
_symmetry_space_group_name_H-M 'P 1'
_symmetry_Int_Tables_number 1
_symmetry_space_group_name_Hall 'P 1'
_cell_length_a 5.7796
_cell_length_b 5.7796
_cell_length_c 7.6855
_cell_angle_alpha 90.00
_cell_angle_beta 90.00
_cell_angle_gamma 120.00
loop_
_atom_site_label
_atom_site_type_symbol
_atom_site_fract_x
_atom_site_fract_y
_atom_site_fract_z
K1 K 0.0000 0.0000 0.0000
Y1 Y 0.0000 0.0000 0.5000
Cr1 Cr 0.3333 0.6667 0.7567
Cr2 Cr 0.6667 0.3333 0.2433
O1 O 0.1725 0.3495 0.6852
O2 O 0.1770 0.8275 0.6852
O3 O 0.3333 0.6667 0.9673
O4 O 0.3495 0.1770 0.3148
O5 O 0.6505 0.8230 0.6852
O6 O 0.6667 0.3333 0.0327
O7 O 0.8230 0.1725 0.3148
O8 O 0.8275 0.6505 0.3148

# K3Y3CrO8 PBE with a Hubbard U optimized geometry
# Electronic total energy: -107.27 eV per cell
# V: 16.411 Å³ per atom
# Space-group type: No. 12
# Crystal system: monoclinic
data_K3Y3CrO8
_chemical_formula_sum 'K3 Y3 Cr1 O8'
_symmetry_space_group_name_H-M 'P 1'
_symmetry_Int_Tables_number 1
_symmetry_space_group_name_Hall 'P 1'
_cell_length_a 6.7426
_cell_length_b 6.7426
_cell_length_c 7.3711
_cell_angle_alpha 116.99
_cell_angle_beta 116.99
_cell_angle_gamma 59.50
loop_
_atom_site_label
_atom_site_type_symbol
_atom_site_fract_x
_atom_site_fract_y
_atom_site_fract_z
K1 K 0.0000 0.0000 0.0000
K2 K 0.0000 0.5000 0.0000
K3 K 0.5000 0.0000 0.0000
Y1 Y 0.0000 0.5000 0.5000
Y2 Y 0.5000 0.0000 0.5000
Y3 Y 0.5000 0.5000 0.5000
Cr1 Cr 0.0000 0.0000 0.5000
O1 O 0.2020 0.7638 0.6687
O2 O 0.2100 0.2100 0.6734
O3 O 0.2362 0.7980 0.3313
O4 O 0.2736 0.2736 0.3158
O5 O 0.7264 0.7264 0.6842
O6 O 0.7638 0.2020 0.6687
O7 O 0.7900 0.7900 0.3266
O8 O 0.7980 0.2362 0.3313

# K3Y2CrO6 PBE with a Hubbard U optimized geometry
# Electronic total energy: -82.04 eV per cell
# V: 15.227 Å³ per atom
# Space-group type: No. 12
# Crystal system: monoclinic
# N(E_F): 0.000 states/eV per atom
data_K3Y2CrO6
_chemical_formula_sum 'K3 Y2 Cr1 O6'
_symmetry_space_group_name_H-M 'P 1'
_symmetry_Int_Tables_number 1
_symmetry_space_group_name_Hall 'P 1'
_cell_length_a 5.8294
_cell_length_b 5.8294
_cell_length_c 6.5032
_cell_angle_alpha 98.56
_cell_angle_beta 98.56
_cell_angle_gamma 119.99
loop_
_atom_site_label
_atom_site_type_symbol
_atom_site_fract_x
_atom_site_fract_y
_atom_site_fract_z
K1 K 0.0000 0.0000 0.0000
K2 K 0.3372 0.6628 0.0000
K3 K 0.6628 0.3372 0.0000
Y1 Y 0.1668 0.8332 0.5000
Y2 Y 0.8332 0.1668 0.5000
Cr1 Cr 0.5000 0.5000 0.5000
O1 O 0.1285 0.4396 0.3180
O2 O 0.2490 0.2490 0.6812
O3 O 0.4396 0.1285 0.3180
O4 O 0.5604 0.8715 0.6820
O5 O 0.7510 0.7510 0.3188
O6 O 0.8715 0.5604 0.6820

# KZnCr2O8 PBE with a Hubbard U optimized geometry
# Electronic total energy: -71.55 eV per cell
# V: 15.239 Å³ per atom
# Space-group type: No. 148
# Crystal system: trigonal
# N(E_F): 0.812 states/eV per atom
data_KZnCr2O8
_chemical_formula_sum 'K1 Zn1 Cr2 O8'
_symmetry_space_group_name_H-M 'P 1'
_symmetry_Int_Tables_number 1
_symmetry_space_group_name_Hall 'P 1'
_cell_length_a 8.5200
_cell_length_b 8.5200
_cell_length_c 8.5200
_cell_angle_alpha 35.13
_cell_angle_beta 35.13
_cell_angle_gamma 35.13
loop_
_atom_site_label
_atom_site_type_symbol
_atom_site_fract_x
_atom_site_fract_y
_atom_site_fract_z
K1 K 0.0000 0.0000 0.0000
Zn1 Zn 0.5000 0.5000 0.5000
Cr1 Cr 0.2400 0.2400 0.2400
Cr2 Cr 0.7600 0.7600 0.7600
O1 O 0.1061 0.7493 0.4899
O2 O 0.2507 0.5101 0.8939
O3 O 0.3086 0.3086 0.3086
O4 O 0.4899 0.1061 0.7493
O5 O 0.5101 0.8939 0.2507
O6 O 0.6914 0.6914 0.6914
O7 O 0.7493 0.4899 0.1061
O8 O 0.8939 0.2507 0.5101

# K3ZnCr2O8 PBE with a Hubbard U optimized geometry
# Electronic total energy: -80.59 eV per cell
# V: 15.319 Å³ per atom
# Space-group type: No. 164
# Crystal system: trigonal
# N(E_F): 0.530 states/eV per atom
data_K3ZnCr2O8
_chemical_formula_sum 'K3 Zn1 Cr2 O8'
_symmetry_space_group_name_H-M 'P 1'
_symmetry_Int_Tables_number 1
_symmetry_space_group_name_Hall 'P 1'
_cell_length_a 5.7382
_cell_length_b 5.7382
_cell_length_c 7.5211
_cell_angle_alpha 90.00
_cell_angle_beta 90.00
_cell_angle_gamma 120.00
loop_
_atom_site_label
_atom_site_type_symbol
_atom_site_fract_x
_atom_site_fract_y
_atom_site_fract_z
K1 K 0.0000 0.0000 0.0000
K2 K 0.3333 0.6667 0.6791
K3 K 0.6667 0.3333 0.3209
Zn1 Zn 0.0000 0.0000 0.5000
Cr1 Cr 0.3333 0.6667 0.2499
Cr2 Cr 0.6667 0.3333 0.7501
O1 O 0.1716 0.3432 0.3291
O2 O 0.1716 0.8284 0.3291
O3 O 0.3333 0.6667 0.0299
O4 O 0.3432 0.1716 0.6709
O5 O 0.6568 0.8284 0.3291
O6 O 0.6667 0.3333 0.9701
O7 O 0.8284 0.1716 0.6709
O8 O 0.8284 0.6568 0.6709

# K2ZnCrO4 PBE with a Hubbard U optimized geometry
# Electronic total energy: -43.53 eV per cell
# V: 16.186 Å³ per atom
# Space-group type: No. 82
# Crystal system: tetragonal
# N(E_F): 0.000 states/eV per atom
data_K2ZnCrO4
_chemical_formula_sum 'K2 Zn1 Cr1 O4'
_symmetry_space_group_name_H-M 'P 1'
_symmetry_Int_Tables_number 1
_symmetry_space_group_name_Hall 'P 1'
_cell_length_a 5.6438
_cell_length_b 5.6438
_cell_length_c 5.6438
_cell_angle_alpha 118.71
_cell_angle_beta 118.71
_cell_angle_gamma 92.25
loop_
_atom_site_label
_atom_site_type_symbol
_atom_site_fract_x
_atom_site_fract_y
_atom_site_fract_z
K1 K 0.0000 0.0000 0.0000
K2 K 0.7500 0.2500 0.5000
Zn1 Zn 0.2500 0.7500 0.5000
Cr1 Cr 0.5000 0.5000 0.0000
O1 O 0.2444 0.6072 0.0994
O2 O 0.3928 0.4922 0.6372
O3 O 0.5078 0.1450 0.9006
O4 O 0.8550 0.7556 0.3628